[1]
BTeC2: relaxed, GGA-PBEsol.

Values from the calculation:
* final energy: -6.41 eV per atom
* SG: I-42d
* DOS at the Fermi energy: 0.395 states/eV/atom

Cell: 4.5994 5.2674 4.5994 Å, 115.89 90.00 115.89°
Positions (direct):
1 C 0.7594 0.2500 0.8750
2 C 0.4906 0.2500 0.3750
3 C 0.6250 0.7500 0.2406
4 C 0.1250 0.7500 0.5094
5 Te 0.2500 0.5000 0.7500
6 Te 0.0000 0.0000 0.0000
7 B 0.7500 0.5000 0.2500
8 B 0.5000 0.0000 0.5000



[2]
TlBC3: relaxed, GGA-PBEsol.

Values from the calculation:
* final energy: -5.16 eV per atom
* SG: Pm-3m
* DOS at the Fermi energy: 0.508 states/eV/atom
* ΔH_f (0 K): 2.557 eV/atom

Cell: 3.6652 3.6652 3.6652 Å, 90.00 90.00 90.00°
Positions (direct):
1 Tl 0.5000 0.5000 0.5000
2 B 0.0000 0.0000 0.0000
3 C 0.0000 0.5000 0.0000
4 C 0.0000 0.0000 0.5000
5 C 0.5000 0.0000 0.0000



[3]
TmB2C2: relaxed, GGA-PBEsol.

Values from the calculation:
* final energy: -8.14 eV per atom
* SG: P4/mbm
* DOS at the Fermi energy: 0.145 states/eV/atom
* ΔH_f (0 K): -0.499 eV/atom

Cell: 3.4103 5.3092 5.3092 Å, 90.00 90.00 90.00°
Positions (direct):
1 C 0.5000 0.8371 0.6629
2 C 0.5000 0.3371 0.8371
3 C 0.5000 0.6629 0.1629
4 C 0.5000 0.1629 0.3371
5 Tm 0.0000 0.5000 0.5000
6 Tm 0.0000 0.0000 0.0000
7 B 0.5000 0.1355 0.6355
8 B 0.5000 0.6355 0.8645
9 B 0.5000 0.8645 0.3645
10 B 0.5000 0.3645 0.1355



[4]
BWC3: relaxed, GGA-PBEsol.

Values from the calculation:
* final energy: -7.87 eV per atom
* SG: Pm-3m
* DOS at the Fermi energy: 0.567 states/eV/atom
* ΔH_f (0 K): 2.077 eV/atom

Cell: 3.4062 3.4062 3.4062 Å, 90.00 90.00 90.00°
Positions (direct):
1 C 0.0000 0.5000 0.0000
2 C 0.0000 0.0000 0.5000
3 C 0.5000 0.0000 0.0000
4 B 0.0000 0.0000 0.0000
5 W 0.5000 0.5000 0.5000



[5]
Y3BC: relaxed, GGA-PBEsol.

Values from the calculation:
* final energy: -7.30 eV per atom
* SG: Pm-3m
* DOS at the Fermi energy: 0.498 states/eV/atom
* ΔH_f (0 K): 0.127 eV/atom

Cell: 4.6941 4.6941 4.6941 Å, 90.00 90.00 90.00°
Positions (direct):
1 Y 0.0000 0.5000 0.0000
2 Y 0.0000 0.0000 0.5000
3 Y 0.5000 0.0000 0.0000
4 C 0.0000 0.0000 0.0000
5 B 0.5000 0.5000 0.5000



[6]
ZnBC3: relaxed, GGA-PBEsol.

Values from the calculation:
* final energy: -3.78 eV per atom
* SG: Pm-3m
* DOS at the Fermi energy: 0.655 states/eV/atom
* ΔH_f (0 K): 3.724 eV/atom

Cell: 3.8549 3.8549 3.8549 Å, 90.00 90.00 90.00°
Positions (direct):
1 Zn 0.0000 0.0000 0.0000
2 B 0.5000 0.5000 0.5000
3 C 0.0000 0.5000 0.0000
4 C 0.0000 0.0000 0.5000
5 C 0.5000 0.0000 0.0000



[7]
ZrBC3: relaxed, GGA-PBEsol.

Values from the calculation:
* final energy: -7.73 eV per atom
* SG: Pm-3m
* DOS at the Fermi energy: 0.399 states/eV/atom
* ΔH_f (0 K): 1.273 eV/atom

Cell: 3.4940 3.4940 3.4940 Å, 90.00 90.00 90.00°
Positions (direct):
1 C 0.0000 0.5000 0.0000
2 C 0.0000 0.0000 0.5000
3 C 0.5000 0.0000 0.0000
4 B 0.0000 0.0000 0.0000
5 Zr 0.5000 0.5000 0.5000



[8]
ZrBC3: relaxed, GGA-PBEsol.

Values from the calculation:
* final energy: -5.86 eV per atom
* SG: Pm-3m
* DOS at the Fermi energy: 0.560 states/eV/atom
* ΔH_f (0 K): 3.146 eV/atom

Cell: 4.2784 4.2784 4.2784 Å, 90.00 90.00 90.00°
Positions (direct):
1 C 0.0000 0.5000 0.0000
2 C 0.0000 0.0000 0.5000
3 C 0.5000 0.0000 0.0000
4 B 0.5000 0.5000 0.5000
5 Zr 0.0000 0.0000 0.0000



[9]
Ca2CdBTe: relaxed, GGA-PBEsol.

Values from the calculation:
* final energy: -3.61 eV per atom
* SG: P4/mmm
* DOS at the Fermi energy: 0.455 states/eV/atom

Cell: 4.3129 5.2821 5.2821 Å, 90.00 90.00 90.00°
Positions (direct):
1 Ca 0.0000 0.0000 0.5000
2 Ca 0.0000 0.5000 0.0000
3 Te 0.5000 0.5000 0.5000
4 B 0.0000 0.0000 0.0000
5 Cd 0.5000 0.0000 0.0000



[10]
Ca2BCl: relaxed, GGA-PBEsol.

Values from the calculation:
* final energy: -3.55 eV per atom
* SG: Fm-3m
* DOS at the Fermi energy: 0.570 states/eV/atom

Cell: 4.8544 4.8544 4.8544 Å, 60.00 60.00 60.00°
Positions (direct):
1 Ca 0.2500 0.2500 0.2500
2 Ca 0.7500 0.7500 0.7500
3 B 0.0000 0.0000 0.0000
4 Cl 0.5000 0.5000 0.5000



[11]
CaBMo2Cl: relaxed, GGA-PBEsol.

Values from the calculation:
* final energy: -6.44 eV per atom
* SG: P4/mmm
* DOS at the Fermi energy: 1.312 states/eV/atom

Cell: 4.0800 4.0800 5.6850 Å, 90.00 90.00 90.00°
Positions (direct):
1 Mo 0.0000 0.5000 0.0000
2 Mo 0.5000 0.0000 0.0000
3 B 0.0000 0.0000 0.0000
4 Ca 0.0000 0.0000 0.5000
5 Cl 0.5000 0.5000 0.5000



[12]
Ca2B5ClO9: relaxed, GGA-PBEsol.

Values from the calculation:
* final energy: -7.89 eV per atom
* SG: Pnn2
* DOS at the Fermi energy: 0.000 states/eV/atom

Cell: 6.2958 11.1287 11.2756 Å, 90.00 90.00 90.00°
Positions (direct):
1 Ca 0.1447 0.0283 0.7417
2 Ca 0.1447 0.9717 0.2583
3 Ca 0.6447 0.5283 0.7583
4 Ca 0.6447 0.4717 0.2417
5 Ca 0.3189 0.2570 0.4713
6 Ca 0.3189 0.7430 0.5287
7 Ca 0.8189 0.7570 0.0287
8 Ca 0.8189 0.2430 0.9713
9 B 0.3169 0.7335 0.2000
10 B 0.3169 0.2665 0.8000
11 B 0.8169 0.2335 0.3000
12 B 0.8169 0.7665 0.7000
13 B 0.3596 0.2358 0.0205
14 B 0.3596 0.7642 0.9795
15 B 0.8596 0.7358 0.4795
16 B 0.8596 0.2642 0.5205
17 B 0.1924 0.5201 0.2236
18 B 0.1924 0.4799 0.7764
19 B 0.6924 0.0201 0.2764
20 B 0.6924 0.9799 0.7236
21 B 0.4567 0.1842 0.2277
22 B 0.4567 0.8158 0.7723
23 B 0.9567 0.6842 0.2723
24 B 0.9567 0.3158 0.7277
25 B 0.1317 0.2951 0.1835
26 B 0.1317 0.7049 0.8165
27 B 0.6317 0.7951 0.3165
28 B 0.6317 0.2049 0.6835
29 Cl 0.9715 0.0000 0.0000
30 Cl 0.4715 0.5000 0.5000
31 Cl 0.2143 0.0000 0.5000
32 Cl 0.7143 0.5000 0.0000
33 O 0.5144 0.2097 0.1030
34 O 0.5144 0.7903 0.8970
35 O 0.0144 0.7097 0.3970
36 O 0.0144 0.2903 0.6030
37 O 0.4281 0.7760 0.0933
38 O 0.4281 0.2240 0.9067
39 O 0.9281 0.2760 0.4067
40 O 0.9281 0.7240 0.5933
41 O 0.3528 0.6029 0.2130
42 O 0.3528 0.3971 0.7870
43 O 0.8528 0.1029 0.2870
44 O 0.8528 0.8971 0.7130
45 O 0.5870 0.2591 0.3077
46 O 0.5870 0.7409 0.6923
47 O 0.0870 0.7591 0.1923
48 O 0.0870 0.2409 0.8077
49 O 0.4034 0.1985 0.6997
50 O 0.4034 0.8015 0.3003
51 O 0.9034 0.6985 0.8003
52 O 0.9034 0.3015 0.1997
53 O 0.4899 0.0543 0.2509
54 O 0.4899 0.9457 0.7491
55 O 0.9899 0.5543 0.2491
56 O 0.9899 0.4457 0.7509
57 O 0.2329 0.1989 0.2520
58 O 0.2329 0.8011 0.7480
59 O 0.7329 0.6989 0.2480
60 O 0.7329 0.3011 0.7520
61 O 0.1609 0.2727 0.0533
62 O 0.1609 0.7273 0.9467
63 O 0.6609 0.7727 0.4467
64 O 0.6609 0.2273 0.5533
65 O 0.2556 0.4043 0.2125
66 O 0.2556 0.5957 0.7875
67 O 0.7556 0.9043 0.2875
68 O 0.7556 0.0957 0.7125